PuSbAuO6: relaxed, PBE.

The formation energy without anion corrections is -12.4 eV/f.u.

It has space group P-31c (No. 163), with a = 5.5515 Å, b = 5.5515 Å, c = 9.7027 Å, α = 90.00°, β = 90.00° and γ = 120.00°. Symmetry generates all atoms from Pu at (0.3333, 0.6667, 0.2500), Sb at (0.3333, 0.6667, 0.7500), Au at (0.0000, 0.0000, 0.0000) and O at (0.0124, 0.3686, 0.6371).

---

La2SmAg3: relaxed, PBE.

As for the calculated formation energy: -0.27 eV/atom.

It has space group P4/mmm (No. 123), with a = 3.761 Å, b = 3.761 Å, c = 11.509 Å, α = 90.00°, β = 90.00° and γ = 90.00°. Symmetry generates all atoms from La at (0.000, 0.000, 0.170), Sm at (0.000, 0.000, 0.500), Ag at (0.500, 0.500, 0.000) and Ag at (0.500, 0.500, 0.346).

---

EuInNi: relaxed, PBE.

As for the calculated formation energy: -0.23 eV/atom.

It has space group P-6m2 (No. 187), with a = 4.5139 Å, b = 4.5139 Å, c = 4.1036 Å, α = 90.00°, β = 90.00° and γ = 120.00°. Symmetry generates all atoms from Eu at (0.0000, 0.0000, 0.0000), In at (0.6667, 0.3333, 0.5000) and Ni at (0.3333, 0.6667, 0.5000).

---

BaCoPd3: relaxed, PBE.

As for the calculated formation energy: 0.05 eV/atom. Its energy above the most stable polymorph in this dataset is 0.0 meV/atom.

It has space group Pm-3m (No. 221), with a = 4.792 Å, b = 4.792 Å, c = 4.792 Å, α = 90.00°, β = 90.00° and γ = 90.00°. Symmetry generates all atoms from Ba at (0.000, 0.000, 0.000), Co at (0.500, 0.500, 0.500) and Pd at (0.000, 0.500, 0.500).

---

ZnAg3Sn: relaxed, PBE.

As for the calculated formation energy: 0.39 eV/atom. Its energy above the most stable polymorph in this dataset is 383.0 meV/atom.

It has space group Pm-3m (No. 221), with a = 4.872 Å, b = 4.872 Å, c = 4.872 Å, α = 90.00°, β = 90.00° and γ = 90.00°. Symmetry generates all atoms from Zn at (0.000, 0.000, 0.000), Ag at (0.000, 0.000, 0.500) and Sn at (0.500, 0.500, 0.500).

---

Sm3DyY3Se8: relaxed, PBE.

The formation energy without anion corrections is -27.9 eV/f.u.

It has space group R-3m (No. 166, hexagonal axes), with a = 8.2119 Å, b = 8.2119 Å, c = 20.2181 Å, α = 90.00°, β = 90.00° and γ = 120.00°. Symmetry generates all atoms from Sm at (0.0000, 0.5000, 0.0000), Dy at (0.0000, 0.0000, 0.5000), Y at (0.0000, 0.5000, 0.5000), Se at (0.0000, 0.0000, 0.2476) and Se at (0.0047, 0.5024, 0.7514).

---

As2Se: relaxed, PBE.

The formation energy without anion corrections is 0.6 eV/f.u. Its energy above the most stable polymorph in this dataset is 158.8 meV/atom.

It has space group Imma (No. 74), with a = 3.419 Å, b = 3.567 Å, c = 25.170 Å, α = 90.00°, β = 90.00° and γ = 90.00°. Symmetry generates all atoms from As at (0.000, 0.250, 0.033), As at (0.000, 0.250, 0.201) and Se at (0.000, 0.250, 0.662).

---

Li2CaTe: relaxed, PBE.

The formation energy without anion corrections is -2.7 eV/f.u.

It has space group R3m (No. 160, hexagonal axes), with a = 4.4162 Å, b = 4.4162 Å, c = 17.8679 Å, α = 90.00°, β = 90.00° and γ = 120.00°. Symmetry generates all atoms from Li at (0.0000, 0.0000, 0.0000), Li at (0.0000, 0.0000, 0.3069), Ca at (0.0000, 0.0000, 0.5123) and Te at (0.0000, 0.0000, 0.7214).

---

MgAs2S: relaxed, PBE.

The formation energy without anion corrections is 0.6 eV/f.u. Its energy above the most stable polymorph in this dataset is 0.0 meV/atom.

It has space group I-42d (No. 122), with a = 5.631 Å, b = 5.631 Å, c = 13.183 Å, α = 90.00°, β = 90.00° and γ = 90.00°. Symmetry generates all atoms from Mg at (0.000, 0.000, 0.000), As at (0.222, 0.250, 0.625) and S at (0.000, 0.000, 0.500).

---

ThMg3Sc4: relaxed, PBE.

As for the calculated formation energy: -0.03 eV/atom.

It has space group P4/mmm (No. 123), with a = 3.541 Å, b = 3.541 Å, c = 15.612 Å, α = 90.00°, β = 90.00° and γ = 90.00°. Symmetry generates all atoms from Th at (0.000, 0.000, 0.000), Mg at (0.000, 0.000, 0.264), Mg at (0.000, 0.000, 0.500), Sc at (0.500, 0.500, 0.143) and Sc at (0.500, 0.500, 0.384).

---

Li2TaAl2: relaxed, PBE.

As for the calculated formation energy: 0.10 eV/atom. Its energy above the most stable polymorph in this dataset is 0.0 meV/atom.

It has space group P4/mbm (No. 127), with a = 7.439 Å, b = 7.439 Å, c = 2.796 Å, α = 90.00°, β = 90.00° and γ = 90.00°. Symmetry generates all atoms from Li at (0.159, 0.341, 0.000), Ta at (0.000, 0.000, 0.500) and Al at (0.140, 0.640, 0.500).

---

InPb2I: relaxed, PBE.

The formation energy without anion corrections is 0.1 eV/f.u. Its energy above the most stable polymorph in this dataset is 78.9 meV/atom.

It has space group R-3m (No. 166, hexagonal axes), with a = 3.5399 Å, b = 3.5399 Å, c = 36.5404 Å, α = 90.00°, β = 90.00° and γ = 120.00°. Symmetry generates all atoms from In at (0.0000, 0.0000, 0.0000), Pb at (0.0000, 0.0000, 0.4102) and I at (0.0000, 0.0000, 0.5000).

---

Number 1: N(E_F) 5.81 states/eV/f.u., mass density 8.45 g cm⁻³. Number 2: N(E_F) 4.87 states/eV/f.u., mass density 7.67 g cm⁻³. Number 3: N(E_F) 10.15 states/eV/f.u., mass density 7.46 g cm⁻³. Number 4: N(E_F) 4.30 states/eV/f.u., mass density 7.78 g cm⁻³. Number 5: N(E_F) 2.50 states/eV/f.u., mass density 7.29 g cm⁻³. Number 6: N(E_F) 6.61 states/eV/f.u., mass density 6.38 g cm⁻³. Number 7: N(E_F) 0.99 states/eV/f.u., mass density 4.95 g cm⁻³. Number 8: N(E_F) 0.42 states/eV/f.u., mass density 3.00 g cm⁻³. Number 9: N(E_F) 0.20 states/eV/f.u., mass density 3.28 g cm⁻³. Number 10: N(E_F) 9.23 states/eV/f.u., mass density 4.11 g cm⁻³. Number 11: N(E_F) 2.45 states/eV/f.u., mass density 5.34 g cm⁻³. Number 12: N(E_F) 1.80 states/eV/f.u., mass density 8.24 g cm⁻³.